(1)
! Er2HgPd8 | the Alexandria database | PBE | optimized geometry; values from VASP
&SYSTEM
  ibrav = 0, nat = 11, ntyp = 3
/
ATOMIC_SPECIES
Pd 106.42 Pd.upf
Er 167.26 Er.upf
Hg 200.59 Hg.upf
ATOMIC_POSITIONS crystal
Pd 0.408 0.550 0.815
Pd 0.673 0.903 0.347
Pd 0.145 0.188 0.290
Pd 0.592 0.450 0.185
Pd 0.327 0.097 0.653
Pd 0.855 0.812 0.710
Er 0.216 0.666 0.433
Hg 0.500 0.000 0.000
Pd 0.963 0.278 0.926
Pd 0.037 0.722 0.074
Er 0.784 0.334 0.567
CELL_PARAMETERS angstrom
-1.212 -1.902 3.563
5.118 -4.086 -0.439
2.797 6.775 2.072
! space group: C2/m, No. 12
! total energy: -5.20 eV/atom

***

(2)
! Er3HgPd4 | the Alexandria database | PBE | optimized geometry; values from VASP
&SYSTEM
  ibrav = 0, nat = 8, ntyp = 3
/
ATOMIC_SPECIES
Er 167.26 Er.upf
Pd 106.42 Pd.upf
Hg 200.59 Hg.upf
ATOMIC_POSITIONS crystal
Er 0.310 0.746 0.056
Er 0.912 0.000 0.912
Pd 0.897 0.730 0.168
Pd 0.438 0.270 0.168
Hg 0.998 0.500 0.498
Er 0.310 0.254 0.563
Pd 0.643 0.182 0.825
Pd 0.643 0.818 0.461
CELL_PARAMETERS angstrom
-2.145 -3.063 -5.142
3.337 -2.344 4.879
-5.587 1.481 2.649
! offset from the most stable computed form: 0.3216 eV per atom
! space group: Imm2, No. 44

***

(3)
! Er2HgPd | the Alexandria database | PBE | optimized geometry; values from VASP
&SYSTEM
  ibrav = 0, nat = 4, ntyp = 3
/
ATOMIC_SPECIES
Er 167.26 Er.upf
Pd 106.42 Pd.upf
Hg 200.59 Hg.upf
ATOMIC_POSITIONS crystal
Er 0.750 0.750 0.750
Er 0.250 0.250 0.250
Pd 0.500 0.500 0.500
Hg 0.000 0.000 0.000
CELL_PARAMETERS angstrom
-2.794 -2.624 -3.318
2.139 -3.662 -2.779
-1.122 -4.859 0.914
! offset from the most stable computed form: 0.0370 eV per atom
! space group: Fm-3m, No. 225

***

(4)
! Er8HgPd2 | the Alexandria database | PBE | optimized geometry; values from VASP
&SYSTEM
  ibrav = 0, nat = 11, ntyp = 3
/
ATOMIC_SPECIES
Er 167.26 Er.upf
Pd 106.42 Pd.upf
Hg 200.59 Hg.upf
ATOMIC_POSITIONS crystal
Er 0.588 0.087 0.336
Er 0.588 0.336 0.087
Pd 0.500 0.305 0.701
Er 0.190 0.389 0.389
Er 0.411 0.670 0.919
Pd 0.500 0.701 0.305
Er 0.000 0.237 0.769
Hg 0.002 0.003 0.003
Er 0.809 0.617 0.617
Er 0.000 0.769 0.237
Er 0.411 0.919 0.670
CELL_PARAMETERS angstrom
-3.190 2.949 3.277
-1.928 -7.268 2.650
7.085 2.747 2.412
! offset from the most stable computed form: 0.0973 eV per atom
! space group: Cm, No. 8

***

(5)
! Er12HgPd6 | the Alexandria database | PBE | optimized geometry; values from VASP
&SYSTEM
  ibrav = 0, nat = 19, ntyp = 3
/
ATOMIC_SPECIES
Pd 106.42 Pd.upf
Er 167.26 Er.upf
Hg 200.59 Hg.upf
ATOMIC_POSITIONS crystal
Pd 0.382 0.683 0.855
Pd 0.145 0.618 0.317
Er 0.831 0.589 0.446
Er 0.169 0.411 0.554
Er 0.411 0.554 0.169
Pd 0.317 0.145 0.618
Er 0.069 0.925 0.330
Er 0.446 0.831 0.589
Er 0.075 0.670 0.931
Hg 0.000 0.000 0.000
Er 0.925 0.330 0.069
Er 0.589 0.446 0.831
Pd 0.618 0.317 0.145
Pd 0.855 0.382 0.683
Er 0.931 0.075 0.670
Er 0.330 0.069 0.925
Er 0.670 0.931 0.075
Pd 0.683 0.855 0.382
Er 0.554 0.169 0.411
CELL_PARAMETERS angstrom
0.000 1.001 -8.331
5.307 -6.391 1.189
-7.514 -3.400 1.548
! offset from the most stable computed form: 0.1478 eV per atom
! space group: R-3, No. 148

***

(6)
! ErHgPd6 | the Alexandria database | PBE | optimized geometry; values from VASP
&SYSTEM
  ibrav = 0, nat = 8, ntyp = 3
/
ATOMIC_SPECIES
Pd 106.42 Pd.upf
Er 167.26 Er.upf
Hg 200.59 Hg.upf
ATOMIC_POSITIONS crystal
Pd 0.052 0.536 0.302
Pd 0.464 0.948 0.698
Er 0.500 0.500 0.500
Pd 0.640 0.640 0.062
Hg 0.000 0.000 0.000
Pd 0.536 0.052 0.302
Pd 0.948 0.464 0.698
Pd 0.360 0.360 0.938
CELL_PARAMETERS angstrom
-3.539 3.138 -1.545
-2.941 -1.799 -3.588
-5.916 -2.171 3.511
! offset from the most stable computed form: 0.2956 eV per atom
! space group: C2/m, No. 12

***

(7)
! Er4HgPd2 | the Alexandria database | PBE | optimized geometry; values from VASP
&SYSTEM
  ibrav = 0, nat = 7, ntyp = 3
/
ATOMIC_SPECIES
Pd 106.42 Pd.upf
Er 167.26 Er.upf
Hg 200.59 Hg.upf
ATOMIC_POSITIONS crystal
Pd 0.247 0.247 0.259
Pd 0.753 0.753 0.741
Er 0.871 0.871 0.386
Er 0.619 0.619 0.143
Hg 0.000 0.000 0.000
Er 0.381 0.381 0.857
Er 0.129 0.129 0.614
CELL_PARAMETERS angstrom
0.603 4.435 2.119
-1.717 0.814 4.573
6.748 -0.704 5.340
! offset from the most stable computed form: 0.0000 eV per atom
! space group: R-3m, No. 166

***

(8)
! Er6HgPd | the Alexandria database | PBE | optimized geometry; values from VASP
&SYSTEM
  ibrav = 0, nat = 8, ntyp = 3
/
ATOMIC_SPECIES
Pd 106.42 Pd.upf
Hg 200.59 Hg.upf
Er 167.26 Er.upf
ATOMIC_POSITIONS crystal
Pd 0.500 0.500 0.500
Hg 0.000 0.000 0.000
Er 0.929 0.535 0.744
Er 0.736 0.736 0.266
Er 0.465 0.071 0.256
Er 0.071 0.465 0.256
Er 0.264 0.264 0.734
Er 0.535 0.929 0.744
CELL_PARAMETERS angstrom
6.657 -0.429 -0.436
-2.874 6.019 -0.436
-1.136 -1.679 6.408
! space group: C2/m, No. 12
! total energy: -4.22 eV/atom